First-principles (PBE) data for a relaxed structure of HfRh3O, as listed in Alexandria.

Properties
Its mass density is 11.6 g/cm³. Its formation energy (no corrections) is -0.334 eV/atom. The uncorrected energy is -38.6 eV for the cell shown. Its space group is Pm-3m (221).

Structure (POSCAR):
```
HfRh3O
1.0
-3.3162 -0.7858 2.3830
-0.4402 -3.7060 -1.8346
2.4703 -1.7152 2.8721
Rh Hf O
3 1 1
direct
0.0000 0.5000 0.0000 Rh
0.0000 0.0000 0.5000 Rh
0.5000 0.0000 0.0000 Rh
0.5000 0.5000 0.5000 Hf
0.0000 0.0000 0.0000 O
```

***

First-principles (PBE) data for a relaxed structure of KNa3Au, as listed in Alexandria.

Properties
Its mass density is 2.9 g/cm³. The uncorrected energy is -36.0 eV for the cell shown. Its space group is C2/c (15).

Structure (POSCAR):
```
KNa3Au
1.0
-0.8055 -2.0903 6.6304
-8.5284 -6.5963 -1.2902
1.4898 -10.6699 -1.3574
K Na Au
4 12 4
direct
0.2500 0.9375 0.0625 K
0.7500 0.0625 0.9375 K
0.2500 0.3677 0.6323 K
0.7500 0.6323 0.3677 K
0.5845 0.6535 0.9965 Na
0.9155 0.0035 0.3465 Na
0.4155 0.3465 0.0035 Na
0.0845 0.9965 0.6535 Na
0.9142 0.3487 0.9973 Na
0.5858 0.0027 0.6513 Na
0.0858 0.6513 0.0027 Na
0.4142 0.9973 0.3487 Na
0.4096 0.6736 0.6754 Na
0.0904 0.3246 0.3263 Na
0.5904 0.3263 0.3246 Na
0.9096 0.6754 0.6736 Na
0.7086 0.4151 0.7387 Au
0.7914 0.2613 0.5849 Au
0.2914 0.5849 0.2613 Au
0.2086 0.7387 0.4151 Au
```

***

First-principles (PBE) data for a relaxed structure of SiNi2Os, as listed in Alexandria.

Properties
Its mass density is 11.5 g/cm³. Its formation energy (no corrections) is -0.158 eV/atom. The uncorrected energy is -28.8 eV for the cell shown. Its space group is Amm2 (38).

Structure (POSCAR):
```
SiNi2Os
1.0
3.7795 0.0000 0.0000
0.0000 2.6950 0.0074
0.0000 1.3296 4.7577
Ni Os Si
2 1 1
direct
0.0000 0.8081 0.0085 Ni
0.5000 0.2011 0.2216 Ni
0.0000 0.5460 0.5320 Os
0.5000 0.9447 0.7380 Si
```

***

Number 1: DOS at the Fermi energy 3.1 states/eV/cell. Number 2: DOS at the Fermi energy 7.5 states/eV/cell. Number 3: DOS at the Fermi energy 3.9 states/eV/cell.